Below is YTa2Re after structural relaxation, with properties calculated at the GGA-PBEsol level.

Its relative energy among the computed polymorphs is 33 kJ/mol of formula units.

It has space group Fm-3m (No. 225), with a = 6.5976 Å, b = 6.5976 Å, c = 6.5976 Å, α = 90.00°, β = 90.00° and γ = 90.00°. The asymmetric unit holds Y at (0.0000, 0.0000, 0.0000), Ta at (0.2500, 0.2500, 0.2500) and Re at (0.0000, 0.0000, 0.5000).

***

Below is ZrTaRe after structural relaxation, with properties calculated at the GGA-PBEsol level.

Its relative energy among the computed polymorphs is 420 kJ/mol of formula units.

It has space group F-43m (No. 216), with a = 6.2351 Å, b = 6.2351 Å, c = 6.2351 Å, α = 90.00°, β = 90.00° and γ = 90.00°. The asymmetric unit holds Zr at (0.0000, 0.0000, 0.0000), Ta at (0.2500, 0.2500, 0.2500) and Re at (0.2500, 0.2500, 0.7500).

***

Below is ZrTaRe after structural relaxation, with properties calculated at the GGA-PBEsol level.

Its relative energy among the computed polymorphs is 0 kJ/mol of formula units.

It has space group I4mm (No. 107), with a = 3.2238 Å, b = 3.2238 Å, c = 10.1387 Å, α = 90.00°, β = 90.00° and γ = 90.00°. The asymmetric unit holds Zr at (0.0000, 0.0000, 0.0000), Ta at (0.0000, 0.0000, 0.3123) and Re at (0.0000, 0.0000, 0.6690).

***

Below is ZrTa2Re after structural relaxation, with properties calculated at the GGA-PBEsol level.

It has space group Imm2 (No. 44), with a = 3.2150 Å, b = 4.6459 Å, c = 9.3562 Å, α = 90.00°, β = 90.00° and γ = 90.00°. The asymmetric unit holds Zr at (0.0000, 0.0000, 0.0000), Ta at (0.0000, 0.0000, 0.4755), Ta at (0.0000, 0.5000, 0.2360) and Re at (0.0000, 0.5000, 0.7449).

***

Below is ZrTaRe after structural relaxation, with properties calculated at the GGA-PBEsol level.

Its relative energy among the computed polymorphs is 27 kJ/mol of formula units.

It has space group P3m1 (No. 156), with a = 4.5096 Å, b = 4.5096 Å, c = 2.9602 Å, α = 90.00°, β = 90.00° and γ = 120.00°. The asymmetric unit holds Zr at (0.0000, 0.0000, 0.0000), Ta at (0.3333, 0.6667, 0.6289) and Re at (0.6667, 0.3333, 0.3310).

***

Below is ZrTa2Re after structural relaxation, with properties calculated at the GGA-PBEsol level.

It has space group Immm (No. 71), with a = 3.2214 Å, b = 4.6477 Å, c = 9.3975 Å, α = 90.00°, β = 90.00° and γ = 90.00°. The asymmetric unit holds Zr at (0.0000, 0.0000, 0.0000), Ta at (0.0000, 0.5000, 0.2342) and Re at (0.0000, 0.0000, 0.5000).

***

Below is ZrTaRe after structural relaxation, with properties calculated at the GGA-PBEsol level.

Its relative energy among the computed polymorphs is 111 kJ/mol of formula units.

It has space group P3m1 (No. 156), with a = 3.0836 Å, b = 3.0836 Å, c = 6.5847 Å, α = 90.00°, β = 90.00° and γ = 120.00°. The asymmetric unit holds Zr at (0.0000, 0.0000, 0.0000), Ta at (0.6667, 0.3333, 0.3703) and Re at (0.3333, 0.6667, 0.6669).

***

Below is Re3Tc after structural relaxation, with properties calculated at the GGA-PBEsol level.

Its relative energy among the computed polymorphs is 25 kJ/mol of formula units.

It has space group C2/m (No. 12), with a = 9.0680 Å, b = 2.7403 Å, c = 4.7400 Å, α = 90.00°, β = 99.98° and γ = 90.00°. The asymmetric unit holds Re at (0.0000, 0.0000, 0.0000), Re at (0.2499, 0.0000, 0.7480) and Tc at (0.0000, 0.5000, 0.5000).

***

Total magnetization: 0.00 0.00 0.00 0.00 0.00 0.00 0.00 0.00 (μB per formula unit)
ΔE_f: 222.4 1229.0 -223.4 -130.6 -130.0 -173.3 159.4 61.2 (meV per atom)